1.
This record from the Alexandria database describes a relaxed Rb3C2 crystal. The functional is PBE.

Output
Final energy ... -2.483 eV per atom
Crystal system ... orthorhombic
Distance to the lowest polymorph of the same formula ... 14 meV/atom

Structure (CIF):
```
data_Rb3C2
_chemical_formula_sum 'Rb6 C4'
_cell_length_a 9.616
_cell_length_b 8.239
_cell_length_c 8.211
_cell_angle_alpha 71.55
_cell_angle_beta 54.36
_cell_angle_gamma 54.09
_symmetry_space_group_name_H-M 'P 1'
_symmetry_Int_Tables_number 1
loop_
_symmetry_equiv_pos_as_xyz
'x,y,z'
loop_
_atom_site_label
_atom_site_fract_x
_atom_site_fract_y
_atom_site_fract_z
Rb1 0.551 0.624 0.865
C1 0.385 0.533 0.317
Rb2 0.089 0.411 0.411
C2 0.765 0.317 0.533
C3 0.933 0.485 0.865
Rb3 0.839 0.161 0.161
Rb4 0.960 0.865 0.624
C4 0.717 0.865 0.485
Rb5 0.385 0.290 0.699
Rb6 0.626 0.699 0.290
```

2.
This record from the Alexandria database describes a relaxed Na2Cd2F crystal. The functional is PBE.

Output
Final energy ... -2.158 eV per atom
Crystal system ... tetragonal
Energy relative to the elements, uncorrected ... -890 meV per atom

Structure (CIF):
```
data_Na2Cd2F
_chemical_formula_sum 'Na4 Cd4 F2'
_cell_length_a 6.122
_cell_length_b 6.122
_cell_length_c 6.348
_cell_angle_alpha 90.00
_cell_angle_beta 90.00
_cell_angle_gamma 90.00
_symmetry_space_group_name_H-M 'P 1'
_symmetry_Int_Tables_number 1
loop_
_symmetry_equiv_pos_as_xyz
'x,y,z'
loop_
_atom_site_label
_atom_site_fract_x
_atom_site_fract_y
_atom_site_fract_z
Cd1 0.673 0.827 0.500
Na1 0.800 0.700 0.000
Cd2 0.827 0.327 0.500
F1 0.000 0.000 0.000
Cd3 0.327 0.173 0.500
Cd4 0.173 0.673 0.500
F2 0.500 0.500 0.000
Na2 0.200 0.300 0.000
Na3 0.700 0.200 0.000
Na4 0.300 0.800 0.000
```

3.
This record from the Alexandria database describes a relaxed ZrAl3I crystal. The functional is PBE.

Output
Final energy ... -2.974 eV per atom
Crystal system ... cubic
Energy relative to the elements, uncorrected ... 1291 meV per atom
Distance to the lowest polymorph of the same formula ... 402 meV/atom

Structure (CIF):
```
data_ZrAl3I
_chemical_formula_sum 'Zr1 Al3 I1'
_cell_length_a 5.210
_cell_length_b 5.210
_cell_length_c 5.210
_cell_angle_alpha 90.00
_cell_angle_beta 90.00
_cell_angle_gamma 90.00
_symmetry_space_group_name_H-M 'P 1'
_symmetry_Int_Tables_number 1
loop_
_symmetry_equiv_pos_as_xyz
'x,y,z'
loop_
_atom_site_label
_atom_site_fract_x
_atom_site_fract_y
_atom_site_fract_z
Al1 0.000 0.000 0.500
Al2 0.000 0.500 0.000
Al3 0.500 0.000 0.000
Zr1 0.500 0.500 0.500
I1 0.000 0.000 0.000
```